# GGA-PBE IBrO2, optimized geometry
data_IBrO2
_cell_length_a 3.9446
_cell_length_b 3.9446
_cell_length_c 16.1379
_cell_angle_alpha 90.00
_cell_angle_beta 90.00
_cell_angle_gamma 120.00
_space_group_name_H-M_alt 'R -3 m'
_space_group_IT_number 166
_space_group_name_Hall '-R 3 2"'
loop_
_atom_site_label
_atom_site_type_symbol
_atom_site_fract_x
_atom_site_fract_y
_atom_site_fract_z
I1 I 0.0000 0.0000 0.0000
Br1 Br 0.0000 0.0000 0.5000
O1 O 0.0000 0.0000 0.3708
# magnetic moment	0.00	Bohr magnetons per cell
# polymorph energy (0 for the lowest one)	337	meV/atom